i | ## BaZn2Tc (PBE-GGA)

Data for a relaxed BaZn2Tc crystal.

Cell lengths 3.9532, 3.3914, 6.9877 Å; angles 84.95, 90.00, 90.00 degrees
Last column: nearest neighbours and their distance in Å.
Positions (direct):
Zn1 0.5000 0.1173 0.1776  2 Tc 2.60-2.65, 2 Zn 2.61
Zn2 0.0000 0.1621 0.9319  4 Tc 2.60-2.65, 2 Zn 2.61
Tc1 0.5000 0.6811 0.8900  6 Zn 2.60-2.65
Ba1 0.0000 0.5395 0.5006  5 Zn 3.17-3.47, 2 Ba 3.39, 2 Tc 3.43

Summary:
**Total moment**: 0.91 μB per cell
**D(E_F)**: 0.66 states/eV/atom

=====

ii | ## BaZn2Tc (PBE-GGA)

Data for a relaxed BaZn2Tc crystal.

Cell lengths 4.4617, 4.4617, 6.3057 Å; angles 69.18, 69.18, 59.99 degrees
Last column: nearest neighbours and their distance in Å.
Positions (direct):
Zn1 0.0027 0.0027 0.9920  3 Tc 2.59, 3 Zn 2.60-2.61
Zn2 0.3135 0.3135 0.0596  3 Zn 2.60-2.61, 3 Tc 2.66
Ba1 0.4990 0.4990 0.5020  1 Tc 3.20, 1 Zn 3.21
Tc1 0.6847 0.6847 0.9464  6 Zn 2.59-2.66

Summary:
**Total moment**: 0.51 μB per cell
**D(E_F)**: 0.88 states/eV/atom

=====

iii | ## BaZn2Tc (PBE-GGA)

Data for a relaxed BaZn2Tc crystal.

Cell lengths 5.8908, 5.8908, 5.8908 Å; angles 148.31, 125.26, 64.65 degrees
Last column: nearest neighbours and their distance in Å.
Positions (direct):
Ba1 0.4933 0.4933 0.0000  8 Zn 3.15-3.42, 4 Tc 3.21-3.49, 2 Ba 3.22
Zn1 0.0086 0.0086 0.0000  2 Tc 2.61, 2 Zn 2.76
Zn2 0.7835 0.2835 0.5000  2 Zn 2.76
Tc1 0.2146 0.7146 0.5000  2 Zn 2.61

Summary:
**Total moment**: 1.30 μB per cell
**D(E_F)**: 0.84 states/eV/atom

=====

iv | ## BaZn2Tc (PBE-GGA)

Data for a relaxed BaZn2Tc crystal.

Cell lengths 5.2443, 5.2443, 2.9815 Å; angles 90.00, 90.00, 90.00 degrees
Last column: nearest neighbours and their distance in Å.
Positions (direct):
Zn1 0.0000 0.0000 0.0000  2 Zn 2.98, 4 Ba 3.02, 4 Tc 3.02
Zn2 0.5000 0.5000 0.0000  2 Zn 2.98, 4 Ba 3.02, 4 Tc 3.02
Ba1 0.5000 0.0000 0.5000  2 Ba 2.98, 8 Zn 3.02
Tc1 0.0000 0.5000 0.5000  2 Tc 2.98, 8 Zn 3.02

Summary:
**Total moment**: 0.00 μB per cell
**D(E_F)**: 0.80 states/eV/atom

=====

The most stable of them is ii.

=====

i | ## BaZn2Tc (PBE-GGA)

Data for a relaxed BaZn2Tc crystal.

Cell lengths 4.9119, 4.9119, 9.6649 Å; angles 75.28, 75.28, 90.00 degrees
Last column: nearest neighbours and their distance in Å.
Positions (direct):
Ba1 0.0000 0.0000 0.0000  4 Tc 3.47, 8 Zn 3.55
Ba2 0.7500 0.2500 0.5000  4 Tc 3.47, 8 Zn 3.55
Tc1 0.2500 0.7500 0.5000  4 Zn 2.57
Tc2 0.5000 0.5000 0.0000  4 Zn 2.57
Zn1 0.3750 0.6251 0.7500  2 Zn 2.46, 2 Tc 2.57
Zn2 0.3751 0.6250 0.2500  2 Zn 2.46, 2 Tc 2.57
Zn3 0.3749 0.1250 0.2500  2 Zn 2.46, 2 Tc 2.57
Zn4 0.8750 0.6249 0.7500  2 Zn 2.46, 2 Tc 2.57

Summary:
**Total moment**: 2.25 μB per cell
**D(E_F)**: 1.22 states/eV/atom

=====

ii | ## BaZn2Tc (PBE-GGA)

Data for a relaxed BaZn2Tc crystal.

Cell lengths 3.4145, 3.4286, 7.9844 Å; angles 64.57, 90.00, 90.00 degrees
Last column: nearest neighbours and their distance in Å.
Positions (direct):
Zn1 0.0000 0.4184 0.5817  1 Zn 2.43, 4 Tc 2.71
Zn2 0.0000 0.0816 0.9183  1 Zn 2.43, 4 Tc 2.71
Ba1 0.5000 0.2500 0.2500  8 Zn 3.40, 4 Ba 3.41-3.43, 2 Tc 3.61
Tc1 0.5000 0.7500 0.7500  8 Zn 2.71

Summary:
**Total moment**: 0.00 μB per cell
**D(E_F)**: 0.85 states/eV/atom

=====

The most stable of them is ii.

=====

i | ## BaZn2Tc (PBE-GGA)

Data for a relaxed BaZn2Tc crystal.

Cell lengths 7.2243, 5.2733, 3.0153 Å; angles 89.89, 65.51, 124.51 degrees
Last column: nearest neighbours and their distance in Å.
Positions (direct):
Ba1 0.0000 0.5000 0.5000  2 Ba 3.02, 8 Zn 3.03-3.04, 2 Tc 3.29
Zn1 0.5000 0.0000 0.5000  4 Zn 3.02-3.29, 4 Tc 3.03-3.04, 4 Ba 3.03-3.04
Zn2 0.0000 0.0000 0.0000  4 Zn 3.02-3.29, 4 Ba 3.03-3.04, 4 Tc 3.03-3.04
Tc1 0.5000 0.5000 0.0000  2 Tc 3.02, 8 Zn 3.03-3.04, 2 Ba 3.29

Summary:
**Total moment**: 0.00 μB per cell
**D(E_F)**: 0.71 states/eV/atom

=====

ii | ## BaZn2Tc (PBE-GGA)

Data for a relaxed BaZn2Tc crystal.

Cell lengths 4.5185, 4.5173, 4.2950 Å; angles 90.00, 90.00, 90.00 degrees
Last column: nearest neighbours and their distance in Å.
Positions (direct):
Zn1 0.0000 0.0000 0.0000  4 Tc 3.12, 4 Ba 3.12, 4 Zn 3.19
Zn2 0.5000 0.5000 0.0000  4 Ba 3.12, 4 Tc 3.12, 4 Zn 3.19
Ba1 0.5000 0.0000 0.5000  8 Zn 3.12, 4 Tc 3.19
Tc1 0.0000 0.5000 0.5000  8 Zn 3.12, 4 Ba 3.19

Summary:
**Total moment**: 1.22 μB per cell
**D(E_F)**: 0.55 states/eV/atom

=====

The most stable of them is i.